[1]
DFT (GGA-PBE) results for a relaxed SmDy2Tm2Sc crystal.

Cell and atoms, written as extended XYZ:
```
12
Lattice="5.501 0.000 0.000 0.000 9.580 0.000 0.000 0.000 6.831" Properties=species:S:1:pos:R:3 pbc="T T T"
Sm 2.750 4.790 0.000
Sm 0.000 0.000 3.415
Dy 2.750 7.984 1.681
Dy 2.750 1.595 5.150
Dy 0.000 6.385 5.096
Dy 0.000 3.195 1.734
Tm 2.750 1.598 1.697
Tm 0.000 6.388 1.719
Tm 2.750 7.982 5.134
Tm 0.000 3.192 5.112
Sc 0.000 0.000 0.000
Sc 2.750 4.790 3.415
```

Calculated values
Spin magnetization   0.0 μB/f.u.
Electronic total energy   -4.77 eV/atom
Formation energy from the elements   100.9 meV per atom
Density of states at the Fermi level   20.59 states/eV/cell

***

[2]
DFT (GGA-PBE) results for a relaxed Sm2Dy6Tm3Sc crystal.

Cell and atoms, written as extended XYZ:
```
12
Lattice="6.092 0.001 0.005 -3.043 5.277 0.005 -1.021 -1.768 11.489" Properties=species:S:1:pos:R:3 pbc="T T T"
Sm 0.002 3.519 0.005
Sm 3.047 1.760 0.005
Dy 3.035 1.769 8.614
Dy 2.039 3.530 2.893
Dy -1.007 1.742 2.886
Dy 0.015 3.513 8.614
Dy -0.011 -0.020 8.607
Dy 2.012 -0.002 2.886
Tm -2.036 3.517 5.750
Tm 4.063 -0.006 5.750
Tm 1.014 1.755 5.750
Sc 0.000 0.000 0.000
```

Calculated values
Spin magnetization   0.0 μB/f.u.
Electronic total energy   -4.71 eV/atom
Formation energy from the elements   27.4 meV per atom
Density of states at the Fermi level   15.96 states/eV/cell

***

[3]
DFT (GGA-PBE) results for a relaxed SmDy5YSc2 crystal.

Cell and atoms, written as extended XYZ:
```
18
Lattice="5.590 0.000 0.000 -2.795 10.763 0.000 0.000 0.000 9.315" Properties=species:S:1:pos:R:3 pbc="T T T"
Sm 2.795 6.774 4.828
Sm 0.000 3.989 0.170
Dy 0.000 8.435 0.430
Dy 2.795 5.063 7.773
Dy 0.000 10.079 6.974
Dy 0.000 6.618 6.704
Dy 2.795 10.578 4.815
Dy 2.795 2.328 5.087
Dy 0.000 5.700 3.116
Dy 2.795 0.684 2.317
Dy 2.795 4.145 2.047
Dy 0.000 0.185 0.158
Y 2.795 2.096 8.558
Y 0.000 8.666 3.900
Sc 2.795 8.327 7.679
Sc 0.000 3.002 6.490
Sc 0.000 2.435 3.021
Sc 2.795 7.760 1.832
```

Calculated values
Spin magnetization   0.0 μB/f.u.
Electronic total energy   -5.03 eV/atom
Formation energy from the elements   171.7 meV per atom
Density of states at the Fermi level   27.48 states/eV/cell

***

[4]
DFT (GGA-PBE) results for a relaxed SmDy2Y6Sc crystal.

Cell and atoms, written as extended XYZ:
```
20
Lattice="-2.026 -8.497 0.341 5.150 -0.739 7.529 -8.814 2.321 0.819" Properties=species:S:1:pos:R:3 pbc="T T T"
Sm 4.189 -2.764 7.395
Sm -9.879 -4.151 1.292
Dy -2.830 -2.779 6.646
Dy -0.326 -0.221 2.602
Dy -2.860 -4.136 2.042
Dy -5.364 -6.694 6.085
Y -6.410 1.302 1.658
Y -7.491 -1.948 2.427
Y 0.720 -8.218 7.030
Y 1.802 -4.968 6.261
Y -4.403 -1.461 0.834
Y -6.032 0.057 4.917
Y -1.287 -5.454 7.854
Y 0.342 -6.972 3.771
Y -0.587 -0.216 5.947
Y -0.465 -3.245 4.313
Y -5.103 -6.699 2.741
Y -5.224 -3.670 4.375
Sc -3.117 -1.163 3.885
Sc -2.573 -5.752 4.803
```

Calculated values
Spin magnetization   0.0 μB/f.u.
Electronic total energy   -5.78 eV/atom
Formation energy from the elements   119.4 meV per atom
Density of states at the Fermi level   27.11 states/eV/cell